[1]
{"formula": "Cs8AgAu2F", "functional": "GGA-PBE", "state": "relaxed", "n_ef_per_ev_cell": 8.61, "formation_energy_uncorrected_kcal_per_mol_atoms": -11.501, "lattice": [[-3.077, 2.226, -7.759], [-7.356, -4.019, 1.354], [-3.958, 8.605, 4.038]], "species": ["Cs", "Cs", "Cs", "Cs", "Cs", "Cs", "Cs", "Cs", "Ag", "Au", "Au", "F"], "frac_coords": [[0.170, 0.790, 0.212], [0.708, 0.743, 0.000], [0.830, 0.210, 0.212], [0.830, 0.210, 0.788], [0.292, 0.257, 0.000], [0.170, 0.790, 0.788], [0.663, 0.717, 0.500], [0.337, 0.283, 0.500], [0.000, 0.000, 0.500], [0.500, 0.500, 0.770], [0.500, 0.500, 0.230], [0.000, 0.000, 0.000]]}

[2]
{"formula": "CsGaAg2Au", "functional": "GGA-PBE", "state": "relaxed", "n_ef_per_ev_cell": 1.64, "ef_ev_per_atom": 0.03, "lattice": [[-1.419, 1.066, 4.955], [-5.027, 0.361, -1.517], [-0.630, -4.999, 0.895]], "species": ["Cs", "Au", "Ga", "Ag", "Ag"], "frac_coords": [[0.500, 0.500, 0.500], [0.000, 0.000, 0.500], [0.000, 0.000, 0.000], [0.000, 0.500, 0.000], [0.500, 0.000, 0.000]]}

[3]
{"formula": "CsAgGeAu2", "functional": "GGA-PBE", "state": "relaxed", "n_ef_per_ev_cell": 1.34, "ef_ev_per_atom": -0.06, "lattice": [[5.158, 0.000, 0.000], [0.000, 5.158, 0.000], [0.000, 0.000, 5.200]], "species": ["Cs", "Ge", "Au", "Au", "Ag"], "frac_coords": [[0.500, 0.500, 0.500], [0.000, 0.000, 0.000], [0.000, 0.500, 0.000], [0.500, 0.000, 0.000], [0.000, 0.000, 0.500]]}

[4]
{"formula": "Cs2AgH6Au2", "functional": "GGA-PBE", "state": "relaxed", "n_ef_per_ev_cell": 1.59, "dft_energy_ev_per_atom": -2.887, "lattice": [[5.047, 0.000, 0.000], [-2.523, 7.199, -0.421], [0.000, -4.510, 6.447]], "species": ["Cs", "Cs", "Ag", "H", "H", "H", "H", "H", "H", "Au", "Au"], "frac_coords": [[0.681, 0.362, 0.175], [0.319, 0.638, 0.825], [0.500, 0.000, 0.500], [0.873, 0.747, 0.687], [0.155, 0.821, 0.276], [0.334, 0.179, 0.724], [0.845, 0.179, 0.724], [0.666, 0.821, 0.276], [0.127, 0.253, 0.313], [0.994, 0.988, 0.701], [0.006, 0.012, 0.299]]}

[5]
{"formula": "Cs8AgHAu2", "functional": "GGA-PBE", "state": "relaxed", "n_ef_per_ev_cell": 9.52, "dft_energy_ev_per_atom": -1.725, "lattice": [[8.673, 0.054, -0.006], [0.119, 8.529, -0.011], [0.006, 0.012, 10.292]], "species": ["Cs", "Cs", "Cs", "Cs", "Cs", "Cs", "Cs", "Cs", "Ag", "H", "Au", "Au"], "frac_coords": [[0.169, 0.775, 0.222], [0.699, 0.747, 0.000], [0.831, 0.225, 0.222], [0.831, 0.225, 0.778], [0.301, 0.253, 0.000], [0.169, 0.775, 0.778], [0.657, 0.725, 0.500], [0.343, 0.275, 0.500], [0.000, 0.000, 0.500], [0.000, 0.000, 0.000], [0.500, 0.500, 0.766], [0.500, 0.500, 0.234]]}

[6]
{"formula": "Cs2AgH6Au", "functional": "GGA-PBE", "state": "relaxed", "n_ef_per_ev_cell": 0.00, "dft_energy_ev_per_atom": -2.931, "lattice": [[-3.371, 3.948, -3.470], [3.177, -1.753, -5.081], [-3.299, -2.351, -5.088]], "species": ["Cs", "Cs", "Ag", "H", "H", "H", "H", "H", "H", "Au"], "frac_coords": [[0.750, 0.250, 0.500], [0.250, 0.750, 0.500], [0.000, 0.000, 0.000], [0.179, 0.179, 0.642], [0.688, 0.688, 0.000], [0.312, 0.688, 0.000], [0.688, 0.312, 0.000], [0.312, 0.312, 0.000], [0.821, 0.821, 0.358], [0.500, 0.500, 0.000]]}

[7]
{"formula": "Cs2AgHAu", "functional": "GGA-PBE", "state": "relaxed", "n_ef_per_ev_cell": 0.57, "dft_energy_ev_per_atom": -2.318, "lattice": [[6.409, 0.000, 0.000], [0.000, 6.409, 0.000], [0.000, 0.000, 3.941]], "species": ["Cs", "Cs", "H", "Au", "Ag"], "frac_coords": [[0.000, 0.500, 0.000], [0.500, 0.000, 0.000], [0.000, 0.000, 0.000], [0.500, 0.500, 0.500], [0.000, 0.000, 0.500]]}

[8]
{"formula": "Cs6Ag2HAu", "functional": "GGA-PBE", "state": "relaxed", "n_ef_per_ev_cell": 16.51, "dft_energy_ev_per_atom": -1.796, "lattice": [[-3.690, -2.236, -7.412], [-8.134, -2.367, 4.763], [-4.335, 11.784, -1.547]], "species": ["Cs", "Cs", "Cs", "Cs", "Cs", "Cs", "Cs", "Cs", "Cs", "Cs", "Cs", "Cs", "Ag", "Ag", "Ag", "Ag", "H", "H", "Au", "Au"], "frac_coords": [[0.311, 0.674, 0.056], [0.811, 0.826, 0.556], [0.689, 0.326, 0.944], [0.189, 0.174, 0.444], [0.341, 0.695, 0.437], [0.841, 0.805, 0.937], [0.659, 0.305, 0.563], [0.159, 0.195, 0.063], [0.878, 0.539, 0.234], [0.378, 0.961, 0.734], [0.122, 0.461, 0.766], [0.622, 0.039, 0.266], [0.044, 0.897, 0.252], [0.544, 0.603, 0.752], [0.956, 0.103, 0.748], [0.456, 0.397, 0.248], [0.500, 0.000, 0.500], [0.000, 0.500, 0.000], [0.500, 0.000, 0.000], [0.000, 0.500, 0.500]]}

[9]
{"formula": "Cs6AgHAu2", "functional": "GGA-PBE", "state": "relaxed", "n_ef_per_ev_cell": 7.54, "dft_energy_ev_per_atom": -1.904, "lattice": [[8.781, 0.001, 0.000], [4.391, 7.605, 0.001], [4.390, 2.537, 8.348]], "species": ["Cs", "Cs", "Cs", "Cs", "Cs", "Cs", "Ag", "H", "Au", "Au"], "frac_coords": [[0.568, 0.245, 0.239], [0.245, 0.948, 0.239], [0.948, 0.568, 0.239], [0.406, 0.708, 0.769], [0.708, 0.116, 0.769], [0.116, 0.407, 0.769], [0.828, 0.827, 0.518], [0.330, 0.330, 0.009], [0.511, 0.511, 0.466], [0.001, 0.001, 0.997]]}

[10]
{"formula": "Cs2AgHAu", "functional": "GGA-PBE", "state": "relaxed", "n_ef_per_ev_cell": 0.52, "dft_energy_ev_per_atom": -2.307, "lattice": [[6.565, 0.000, 0.000], [0.000, 6.565, 0.000], [0.000, 0.000, 3.814]], "species": ["Cs", "Cs", "H", "Au", "Ag"], "frac_coords": [[0.000, 0.500, 0.000], [0.500, 0.000, 0.000], [0.000, 0.000, 0.000], [0.000, 0.000, 0.500], [0.500, 0.500, 0.500]]}

[11]
{"formula": "Cs2AgHgAu", "functional": "GGA-PBE", "state": "relaxed", "n_ef_per_ev_cell": 0.64, "ef_ev_per_atom": -0.04, "lattice": [[6.791, 0.000, 0.000], [0.000, 6.791, 0.000], [0.000, 0.000, 5.430]], "species": ["Cs", "Cs", "Au", "Hg", "Ag"], "frac_coords": [[0.000, 0.500, 0.000], [0.500, 0.000, 0.000], [0.500, 0.500, 0.500], [0.000, 0.000, 0.500], [0.000, 0.000, 0.000]]}

[12]
{"formula": "Cs2AgHgAu", "functional": "GGA-PBE", "state": "relaxed", "n_ef_per_ev_cell": 2.71, "ef_ev_per_atom": -0.17, "lattice": [[-5.312, 0.263, -0.372], [-0.753, -3.578, 8.222], [0.175, 8.212, 3.309]], "species": ["Cs", "Cs", "Cs", "Cs", "Ag", "Ag", "Hg", "Hg", "Au", "Au"], "frac_coords": [[0.750, 0.812, 0.501], [0.750, 0.746, 0.007], [0.250, 0.188, 0.499], [0.250, 0.254, 0.993], [0.250, 0.574, 0.672], [0.750, 0.426, 0.328], [0.250, 0.560, 0.312], [0.750, 0.440, 0.688], [0.250, 0.883, 0.765], [0.750, 0.117, 0.235]]}

[13]
{"formula": "Cs2AgHgAu", "functional": "GGA-PBE", "state": "relaxed", "n_ef_per_ev_cell": 0.64, "ef_ev_per_atom": -0.08, "lattice": [[6.813, 0.000, 0.000], [0.000, 6.813, 0.000], [0.000, 0.000, 5.431]], "species": ["Cs", "Cs", "Au", "Hg", "Ag"], "frac_coords": [[0.000, 0.500, 0.000], [0.500, 0.000, 0.000], [0.000, 0.000, 0.000], [0.000, 0.000, 0.500], [0.500, 0.500, 0.500]]}

[14]
{"formula": "Cs4AgHg2Au2", "functional": "GGA-PBE", "state": "relaxed", "n_ef_per_ev_cell": 2.88, "ef_ev_per_atom": -0.19, "lattice": [[8.724, 0.059, 0.040], [1.673, 6.838, -1.304], [1.673, 1.298, 6.839]], "species": ["Cs", "Cs", "Cs", "Cs", "Ag", "Hg", "Hg", "Au", "Au"], "frac_coords": [[0.242, 0.602, 0.055], [0.758, 0.945, 0.398], [0.758, 0.398, 0.945], [0.242, 0.055, 0.602], [0.500, 0.000, 0.000], [0.088, 0.609, 0.609], [0.912, 0.391, 0.391], [0.160, 0.126, 0.126], [0.840, 0.874, 0.874]]}

[15]
{"formula": "Cs2AgHgAu", "functional": "GGA-PBE", "state": "relaxed", "n_ef_per_ev_cell": 2.47, "ef_ev_per_atom": -0.10, "lattice": [[6.838, 0.000, 0.000], [0.000, 6.838, 0.000], [0.000, 0.000, 5.316]], "species": ["Cs", "Cs", "Au", "Hg", "Ag"], "frac_coords": [[0.000, 0.500, 0.000], [0.500, 0.000, 0.000], [0.000, 0.000, 0.000], [0.500, 0.500, 0.500], [0.000, 0.000, 0.500]]}

[16]
{"formula": "CsAgHgAu2", "functional": "GGA-PBE", "state": "relaxed", "n_ef_per_ev_cell": 1.31, "ef_ev_per_atom": -0.02, "lattice": [[5.432, 0.000, 0.000], [0.000, 5.432, 0.000], [0.000, 0.000, 5.435]], "species": ["Cs", "Au", "Au", "Hg", "Ag"], "frac_coords": [[0.500, 0.500, 0.500], [0.000, 0.500, 0.000], [0.500, 0.000, 0.000], [0.000, 0.000, 0.500], [0.000, 0.000, 0.000]]}

[17]
{"formula": "CsAgHg2Au", "functional": "GGA-PBE", "state": "relaxed", "n_ef_per_ev_cell": 1.20, "ef_ev_per_atom": -0.10, "lattice": [[-1.351, -4.942, -1.996], [4.805, -0.238, -2.662], [2.320, -2.413, 4.404]], "species": ["Cs", "Au", "Hg", "Hg", "Ag"], "frac_coords": [[0.500, 0.500, 0.500], [0.000, 0.000, 0.000], [0.000, 0.500, 0.000], [0.500, 0.000, 0.000], [0.000, 0.000, 0.500]]}

[18]
{"formula": "Cs2AgHg6Au", "functional": "GGA-PBE", "state": "relaxed", "n_ef_per_ev_cell": 4.48, "ef_ev_per_atom": -0.16, "lattice": [[-3.927, 5.068, 4.618], [-6.822, -2.398, -3.188], [-5.865, -2.630, 4.689]], "species": ["Cs", "Cs", "Ag", "Hg", "Hg", "Hg", "Hg", "Hg", "Hg", "Au"], "frac_coords": [[0.750, 0.250, 0.500], [0.250, 0.750, 0.500], [0.000, 0.000, 0.000], [0.250, 0.250, 0.500], [0.750, 0.750, 0.000], [0.250, 0.750, 0.000], [0.750, 0.250, 0.000], [0.250, 0.250, 0.000], [0.750, 0.750, 0.500], [0.500, 0.500, 0.000]]}

[19]
{"formula": "CsAgHg2Au", "functional": "GGA-PBE", "state": "relaxed", "n_ef_per_ev_cell": 0.84, "ef_ev_per_atom": -0.10, "lattice": [[-0.834, -4.036, -3.729], [5.192, 0.656, -1.871], [1.788, -3.742, 3.649]], "species": ["Cs", "Au", "Hg", "Hg", "Ag"], "frac_coords": [[0.500, 0.500, 0.500], [0.000, 0.000, 0.500], [0.000, 0.500, 0.000], [0.500, 0.000, 0.000], [0.000, 0.000, 0.000]]}

[20]
{"formula": "Cs2AgAu2I6", "functional": "GGA-PBE", "state": "relaxed", "n_ef_per_ev_cell": 3.57, "formation_energy_uncorrected_kcal_per_mol_atoms": -13.942, "lattice": [[8.037, 0.000, 0.000], [-4.019, 8.043, 0.268], [0.000, -4.321, 7.187]], "species": ["Cs", "Cs", "Ag", "Au", "Au", "I", "I", "I", "I", "I", "I"], "frac_coords": [[0.737, 0.473, 0.224], [0.263, 0.527, 0.776], [0.500, 0.000, 0.500], [0.932, 0.864, 0.792], [0.068, 0.136, 0.208], [0.749, 0.498, 0.707], [0.215, 0.915, 0.219], [0.300, 0.085, 0.781], [0.785, 0.085, 0.781], [0.700, 0.915, 0.219], [0.251, 0.502, 0.293]]}